5
Lattice="-1.440 3.594 -0.676 -0.761 -1.005 -3.722 -5.896 -0.358 -0.772" Properties=species:S:1:pos:R:3 comment="ScCr2As2, optimized geometry, DFT PBE-GGA" ef_mev_per_atom=-361 polymorph_energy_kj_per_mol_fu=0 e_tot_ev_per_cell=-36.684 total_magnetization_mub_per_cell=3.1 density_g_cm3=6.1 pbc="T T T"
Sc 0.000 0.000 0.000
Cr -4.218 2.265 -1.824
Cr -3.879 -0.035 -3.347
As -2.260 0.895 -1.854
As -5.837 1.336 -3.317


10
Lattice="-0.937 -6.960 0.372 6.349 -0.698 2.943 -2.410 0.610 5.346" Properties=species:S:1:pos:R:3 comment="K2BeHg2, optimized geometry, DFT PBE-GGA" ef_mev_per_atom=151 e_tot_ev_per_cell=-11.537 total_magnetization_mub_per_cell=0.0 density_g_cm3=5.6 pbc="T T T"
Be 0.000 0.000 0.000
Be 2.706 -3.829 1.657
K 2.885 -1.340 4.705
K 3.442 -4.932 5.366
K 0.116 -5.708 3.955
K -0.441 -2.115 3.294
Hg 4.913 -2.808 2.536
Hg 3.541 -6.189 2.303
Hg 0.500 -4.850 0.779
Hg 1.871 -1.469 1.011


4
Lattice="5.539 -0.193 0.198 4.396 3.376 0.198 0.937 0.300 5.951" Properties=species:S:1:pos:R:3 comment="CaSe2Br, optimized geometry, DFT PBE-GGA" polymorph_energy_kj_per_mol_fu=12 e_tot_ev_per_cell=-14.842 total_magnetization_mub_per_cell=0.0 density_g_cm3=4.0 pbc="T T T"
Ca 3.127 1.002 2.240
Se 9.970 3.194 6.161
Se 8.119 2.601 4.924
Br 5.962 1.910 2.541


4
Lattice="4.401 0.000 0.000 0.000 3.618 -0.002 0.000 1.874 4.745" Properties=species:S:1:pos:R:3 comment="P3Cl, optimized geometry, DFT PBE-GGA" polymorph_energy_kj_per_mol_fu=0 e_tot_ev_per_cell=-17.206 total_magnetization_mub_per_cell=0.0 density_g_cm3=2.8 pbc="T T T"
Cl 0.000 0.000 0.000
P 2.200 3.655 3.069
P 0.000 2.746 2.371
P 2.200 1.838 1.674


12
Lattice="-0.528 -6.152 0.811 5.638 2.617 -0.383 -1.617 2.697 11.456" Properties=species:S:1:pos:R:3 comment="La2Tb3Y6Er, optimized geometry, DFT PBE-GGA" ef_mev_per_atom=20 e_tot_ev_per_cell=-66.857 total_magnetization_mub_per_cell=0.0 density_g_cm3=6.2 pbc="T T T"
La 3.580 -0.309 0.015
La 1.530 -3.226 0.412
Tb 3.802 2.504 5.544
Tb -0.309 -3.343 6.340
Tb 1.747 -0.419 5.942
Y 1.600 -2.092 9.075
Y 3.435 -1.976 3.226
Y 1.893 1.254 2.808
Y 3.647 0.820 8.678
Y 0.059 1.137 8.657
Y -0.154 -1.658 3.205
Er 0.000 0.000 0.000


12
Lattice="-0.248 -4.547 0.919 1.573 2.941 3.234 -7.146 0.922 2.637" Properties=species:S:1:pos:R:3 comment="Fe8Tc3Mo, optimized geometry, DFT PBE-GGA" ef_mev_per_atom=12 e_tot_ev_per_cell=-109.492 total_magnetization_mub_per_cell=8.1 density_g_cm3=9.7 pbc="T T T"
Fe -2.604 0.906 3.779
Fe -6.177 1.367 5.098
Fe -5.484 -1.576 2.463
Fe -4.712 -0.133 4.050
Fe -4.833 -2.365 4.501
Fe -1.308 0.449 1.867
Fe -0.507 1.945 3.513
Fe -0.633 -0.369 3.980
Tc -2.736 -1.652 2.832
Tc -0.104 -1.991 1.861
Tc -6.695 0.864 2.470
Mo -4.033 0.521 1.488


18
Lattice="6.915 0.000 0.000 -3.457 5.988 0.000 0.000 0.000 13.979" Properties=species:S:1:pos:R:3 comment="KLiThCl6, optimized geometry, DFT PBE-GGA" e_tot_ev_per_cell=-80.330 total_magnetization_mub_per_cell=0.0 density_g_cm3=2.8 pbc="T T T"
K 0.000 0.000 0.000
K 0.000 0.000 6.990
Li 0.000 3.992 3.495
Li 3.457 1.996 10.484
Th 3.457 1.996 3.495
Th 0.000 3.992 10.484
Cl 2.156 3.813 1.981
Cl -1.233 2.214 1.981
Cl 2.534 0.039 8.971
Cl 4.690 3.774 11.998
Cl 1.233 2.214 5.008
Cl -2.156 3.813 5.008
Cl 4.381 0.039 11.998
Cl 0.923 5.949 5.008
Cl 5.614 2.175 8.971
Cl -0.923 5.949 1.981
Cl 2.224 3.774 8.971
Cl 1.301 2.175 11.998


5
Lattice="5.000 0.000 0.000 0.000 5.000 0.000 0.000 0.000 5.000" Properties=species:S:1:pos:R:3 comment="KHf3F, optimized geometry, DFT PBE-GGA" polymorph_energy_kj_per_mol_fu=873 e_tot_ev_per_cell=-22.338 total_magnetization_mub_per_cell=0.0 density_g_cm3=7.9 pbc="T T T"
K 0.000 0.000 0.000
Hf 0.000 2.500 0.000
Hf 0.000 0.000 2.500
Hf 2.500 0.000 0.000
F 2.500 2.500 2.500


8
Lattice="4.201 0.000 0.000 0.000 7.270 0.102 0.000 -2.565 8.253" Properties=species:S:1:pos:R:3 comment="La4NiRuI2, optimized geometry, DFT PBE-GGA" e_tot_ev_per_cell=-44.247 total_magnetization_mub_per_cell=0.0 density_g_cm3=6.4 pbc="T T T"
La 2.100 1.217 1.525
La 2.100 3.488 6.829
La 0.000 -0.077 6.731
La 0.000 4.781 1.623
Ni 0.000 0.000 0.000
Ru 2.100 3.635 0.051
I 2.100 -1.283 4.126
I 0.000 2.352 4.177